1.
VASP calculation (meta-GGA SCAN) on Sc3Mo at its PBEsol-relaxed geometry.

- raw total energy (eV/atom) = -19.27
- space-group type = Pmmn (59)
- polymorph energy (0 for the lowest one) (meV/atom) = 41
- crystal system = orthorhombic
- formation energy from the elements (eV per atom) = 0.13
- DOS(E_F) (states/eV/f.u.) = 2.67

Lattice parameters (Å, degrees): 4.8059 5.3629 6.1883 90.00 90.00 90.00
With the nearest neighbours (Å) after each atom.
Positions (direct):
1 Mo 0.0000 0.6915 0.0000  12 Sc 2.94-3.19
2 Sc 0.0000 0.1733 0.2530  4 Mo 2.94-3.19, 8 Sc 3.00-3.18
3 Sc 0.5000 0.8267 0.2470  4 Mo 2.94-3.19, 8 Sc 3.00-3.18
4 Sc 0.5000 0.3462 0.0000  8 Sc 3.00-3.18, 4 Mo 3.03-3.10
5 Sc 0.0000 0.1733 0.7470  4 Mo 2.94-3.19, 8 Sc 3.00-3.18
6 Sc 0.0000 0.6538 0.5000  8 Sc 3.00-3.18, 4 Mo 3.03-3.10
7 Mo 0.5000 0.3085 0.5000  12 Sc 2.94-3.19
8 Sc 0.5000 0.8267 0.7530  4 Mo 2.94-3.19, 8 Sc 3.00-3.18

2.
VASP calculation (meta-GGA SCAN) on Sc5Mo at its PBEsol-relaxed geometry.

- raw total energy (eV/atom) = -17.54
- space-group type = P4/mmm (123)
- crystal system = tetragonal
- formation energy from the elements (eV per atom) = 0.14
- DOS(E_F) (states/eV/f.u.) = 7.81

Lattice parameters (Å, degrees): 3.2790 3.2790 12.0914 90.00 90.00 90.00
With the nearest neighbours (Å) after each atom.
Positions (direct):
1 Sc 0.0000 0.0000 0.6290  4 Mo 2.79, 1 Sc 3.12
2 Mo 0.5000 0.5000 0.5000  8 Sc 2.79
3 Sc 0.0000 0.0000 0.3710  4 Mo 2.79, 1 Sc 3.12
4 Sc 0.5000 0.5000 0.8216  12 Sc 3.17-3.29
5 Sc 0.5000 0.5000 0.1784  12 Sc 3.17-3.29
6 Sc 0.0000 0.0000 0.0000  12 Sc 3.17-3.28

3.
VASP calculation (meta-GGA SCAN) on ScMo2 at its PBEsol-relaxed geometry.

- raw total energy (eV/atom) = -28.01
- space-group type = P6_3/mmc (194)
- crystal system = hexagonal
- formation energy from the elements (eV per atom) = -0.01
- DOS(E_F) (states/eV/f.u.) = 2.85

Lattice parameters (Å, degrees): 5.3290 5.3290 17.1695 90.00 90.00 120.00
With the nearest neighbours (Å) after each atom.
Positions (direct):
1 Sc 0.0000 0.0000 0.9055  12 Mo 3.06-3.12, 4 Sc 3.24-3.26
2 Sc 0.6667 0.3333 0.6567  12 Mo 3.10-3.13, 4 Sc 3.20-3.26
3 Sc 0.6667 0.3333 0.8433  12 Mo 3.10-3.13, 4 Sc 3.20-3.26
4 Mo 0.1626 0.3253 0.7500  6 Mo 2.60-2.73
5 Sc 0.3333 0.6667 0.1567  12 Mo 3.10-3.13, 4 Sc 3.20-3.26
6 Mo 0.8374 0.1626 0.2500  6 Mo 2.60-2.73
7 Mo 0.0000 0.5000 0.0000  6 Mo 2.62-2.66
8 Sc 0.0000 0.0000 0.5945  12 Mo 3.06-3.12, 4 Sc 3.24-3.26
9 Mo 0.6667 0.3333 0.3766  6 Mo 2.62-2.68
10 Mo 0.5000 0.5000 0.5000  6 Mo 2.62-2.66
11 Mo 0.8374 0.6747 0.2500  6 Mo 2.60-2.73
12 Mo 0.5000 0.0000 0.0000  6 Mo 2.62-2.66
13 Mo 0.0000 0.5000 0.5000  6 Mo 2.62-2.66
14 Mo 0.3333 0.6667 0.8766  6 Mo 2.62-2.68
15 Mo 0.3333 0.6667 0.6234  6 Mo 2.62-2.68
16 Sc 0.3333 0.6667 0.3433  12 Mo 3.10-3.13, 4 Sc 3.20-3.26
17 Mo 0.5000 0.0000 0.5000  6 Mo 2.62-2.66
18 Mo 0.5000 0.5000 0.0000  6 Mo 2.62-2.66
19 Sc 0.0000 0.0000 0.0945  12 Mo 3.06-3.12, 4 Sc 3.24-3.26
20 Sc 0.0000 0.0000 0.4055  12 Mo 3.06-3.12, 4 Sc 3.24-3.26
21 Mo 0.6667 0.3333 0.1234  6 Mo 2.62-2.68
22 Mo 0.1626 0.8374 0.7500  6 Mo 2.60-2.73
23 Mo 0.3253 0.1626 0.2500  6 Mo 2.60-2.73
24 Mo 0.6747 0.8374 0.7500  6 Mo 2.60-2.73

4.
VASP calculation (meta-GGA SCAN) on Sc8Mo at its PBEsol-relaxed geometry.

- raw total energy (eV/atom) = -16.40
- space-group type = I4/mmm (139)
- crystal system = tetragonal
- formation energy from the elements (eV per atom) = 0.13
- DOS(E_F) (states/eV/f.u.) = 11.48

Lattice parameters (Å, degrees): 4.5309 6.9578 6.9578 83.91 71.00 71.00
With the nearest neighbours (Å) after each atom.
Positions (direct):
1 Sc 0.6793 0.3207 0.3207  1 Mo 2.98, 11 Sc 3.10-3.34
2 Sc 0.6568 0.0000 0.6864  8 Sc 2.92-3.20, 2 Mo 3.06
3 Sc 0.3432 0.3136 0.0000  8 Sc 2.92-3.20, 2 Mo 3.06
4 Sc 0.0000 0.6793 0.3207  1 Mo 2.98, 11 Sc 3.10-3.34
5 Mo 0.0000 0.0000 0.0000  12 Sc 2.98-3.06
6 Sc 0.6568 0.6864 0.0000  8 Sc 2.92-3.20, 2 Mo 3.06
7 Sc 0.0000 0.3207 0.6793  1 Mo 2.98, 11 Sc 3.10-3.34
8 Sc 0.3432 0.0000 0.3136  8 Sc 2.92-3.20, 2 Mo 3.06
9 Sc 0.3207 0.6793 0.6793  1 Mo 2.98, 11 Sc 3.10-3.34